# 1
## NbInAu2 (PBE-GGA)

Data for NbInAu2 after structural relaxation.

Output
- SG: R3m (160)
- N(E_F): 3.18 states/eV/cell
- VASP energy: -4.831 eV/atom

a = 3.0610 Å, b = 3.0610 Å, c = 9.7138 Å
α = 80.93°, β = 80.93°, γ = 60.00°
Element x y z (fractional)
Nb 0.5001 0.5001 0.4998
Au 0.0874 0.0874 0.7377
Au 0.2459 0.2459 0.2622
In 0.6666 0.6666 0.0003

=====

# 2
## Na3Ce2TiS6 (PBE-GGA)

Data for Na3Ce2TiS6 after structural relaxation.

Output
- SG: C2/m (12)
- N(E_F): 12.80 states/eV/cell
- Energy relative to the elements, uncorrected: -18.96 eV per formula unit

a = 6.8153 Å, b = 6.8153 Å, c = 7.0835 Å
α = 99.27°, β = 99.27°, γ = 120.02°
Element x y z (fractional)
S 0.6145 0.9245 0.7741
S 0.3855 0.0755 0.2259
S 0.9245 0.6145 0.7741
S 0.0755 0.3855 0.2259
S 0.7653 0.7653 0.2226
S 0.2347 0.2347 0.7774
Na 0.1667 0.8333 0.5000
Na 0.8333 0.1667 0.5000
Na 0.5000 0.5000 0.5000
Ce 0.6668 0.3332 0.0000
Ce 0.3332 0.6668 0.0000
Ti 0.0000 0.0000 0.0000

=====

# 3
## Li3Np3USe8 (PBE-GGA)

Data for Li3Np3USe8 after structural relaxation.

Output
- SG: R-3m (166)
- N(E_F): 34.02 states/eV/cell
- Energy relative to the elements, uncorrected: -17.81 eV per formula unit

a = 8.2199 Å, b = 8.2192 Å, c = 8.0211 Å
α = 120.83°, β = 90.00°, γ = 120.00°
Element x y z (fractional)
Se 0.2482 0.4964 0.2448
Se 0.7518 0.5036 0.7552
Se 0.7551 0.0025 0.7499
Se 0.2474 0.0025 0.7499
Se 0.7526 0.9975 0.2501
Se 0.7525 0.5051 0.2501
Se 0.2475 0.4949 0.7499
Se 0.2449 0.9975 0.2501
Li 0.0000 0.0000 0.0000
Li 0.5000 0.5000 0.0000
Li 0.0000 0.5000 0.0000
Np 0.5000 0.5000 0.5000
Np 0.0000 0.5000 0.5000
Np 0.5000 0.0000 0.5000
U 0.0000 0.0000 0.5000

=====

# 4
## MgTiBeZn (PBE-GGA)

Data for MgTiBeZn after structural relaxation.

Output
- SG: F-43m (216)
- N(E_F): 1.95 states/eV/cell
- VASP energy: -3.578 eV/atom

a = 4.3775 Å, b = 4.3775 Å, c = 4.3775 Å
α = 60.00°, β = 60.00°, γ = 60.00°
Element x y z (fractional)
Ti 0.0000 0.0000 0.0000
Mg 0.5000 0.5000 0.5000
Zn 0.2500 0.2500 0.2500
Be 0.7500 0.7500 0.7500

=====

# 5
## Y2MnGa4Ir3 (PBE-GGA)

Data for Y2MnGa4Ir3 after structural relaxation.

Output
- SG: P-4m2 (115)
- N(E_F): 5.70 states/eV/cell
- VASP energy: -6.704 eV/atom

a = 4.0068 Å, b = 4.0068 Å, c = 11.2743 Å
α = 90.00°, β = 90.00°, γ = 90.00°
Element x y z (fractional)
Ir 0.0000 0.0000 0.5000
Ir 0.5000 0.0000 0.8597
Ir 0.0000 0.5000 0.1403
Mn 0.5000 0.5000 0.5000
Y 0.5000 0.0000 0.2496
Y 0.0000 0.5000 0.7504
Ga 0.5000 0.5000 0.0000
Ga 0.5000 0.0000 0.6371
Ga 0.0000 0.5000 0.3629
Ga 0.0000 0.0000 0.0000

=====

# 6
## Dy3Sc5S12 (PBE-GGA)

Data for Dy3Sc5S12 after structural relaxation.

Output
- SG: Ia-3d (230)
- N(E_F): 0.00 states/eV/cell
- Energy relative to the elements, uncorrected: -36.56 eV per formula unit

a = 13.4390 Å, b = 13.4390 Å, c = 13.4390 Å
α = 109.47°, β = 109.47°, γ = 109.47°
Element x y z (fractional)
Sc 0.0000 0.0000 0.0000
Sc 0.7500 0.1250 0.8750
Sc 0.1250 0.3750 0.2500
Sc 0.3750 0.1250 0.7500
Sc 0.5000 0.0000 0.5000
Sc 0.5000 0.0000 0.0000
Sc 0.2500 0.3750 0.6250
Sc 0.0000 0.5000 0.0000
Sc 0.5000 0.5000 0.5000
Sc 0.3750 0.2500 0.1250
Sc 0.8750 0.2500 0.6250
Sc 0.6250 0.8750 0.2500
Sc 0.6250 0.7500 0.8750
Sc 0.5000 0.5000 0.0000
Sc 0.0000 0.0000 0.5000
Sc 0.0000 0.5000 0.5000
Sc 0.2500 0.8750 0.1250
Sc 0.8750 0.6250 0.7500
Sc 0.7500 0.6250 0.3750
Sc 0.1250 0.7500 0.3750
S 0.4106 0.1275 0.5863
S 0.5894 0.8725 0.4137
S 0.5863 0.9588 0.6757
S 0.7169 0.5894 0.1757
S 0.3725 0.9588 0.7831
S 0.1275 0.7169 0.5412
S 0.0863 0.9106 0.1275
S 0.0894 0.1757 0.2169
S 0.3243 0.7831 0.4106
S 0.9137 0.8243 0.5412
S 0.1757 0.0863 0.9588
S 0.2169 0.5412 0.6275
S 0.4106 0.2831 0.3243
S 0.6275 0.5863 0.9106
S 0.8243 0.9137 0.0412
S 0.7831 0.3243 0.9106
S 0.9588 0.5863 0.1757
S 0.6275 0.0412 0.2169
S 0.2831 0.8725 0.9588
S 0.4137 0.0412 0.3243
S 0.7169 0.1275 0.0412
S 0.1275 0.4106 0.0863
S 0.5894 0.7169 0.6757
S 0.2169 0.6757 0.0894
S 0.8725 0.2831 0.4588
S 0.9137 0.0894 0.8725
S 0.3725 0.4137 0.0894
S 0.5412 0.2169 0.1275
S 0.9106 0.0863 0.6275
S 0.7831 0.4588 0.3725
S 0.4137 0.3725 0.5894
S 0.8243 0.9106 0.2831
S 0.9106 0.8243 0.7831
S 0.1757 0.0894 0.7169
S 0.0412 0.6275 0.7169
S 0.0412 0.4137 0.8243
S 0.0863 0.1757 0.4588
S 0.0894 0.9137 0.3725
S 0.6757 0.2169 0.5894
S 0.6757 0.4588 0.5863
S 0.8725 0.5894 0.9137
S 0.4588 0.7831 0.8725
S 0.5412 0.3243 0.9137
S 0.3243 0.5412 0.4137
S 0.2831 0.4106 0.8243
S 0.4588 0.6757 0.0863
S 0.5863 0.6275 0.4106
S 0.9588 0.3725 0.2831
Dy 0.8750 0.1250 0.2500
Dy 0.2500 0.1250 0.3750
Dy 0.6250 0.3750 0.7500
Dy 0.7500 0.8750 0.6250
Dy 0.2500 0.6250 0.8750
Dy 0.1250 0.2500 0.8750
Dy 0.6250 0.2500 0.3750
Dy 0.7500 0.3750 0.1250
Dy 0.8750 0.7500 0.1250
Dy 0.1250 0.8750 0.7500
Dy 0.3750 0.6250 0.2500
Dy 0.3750 0.7500 0.6250

=====

# 7
## SrHgMo2Ru (PBE-GGA)

Data for SrHgMo2Ru after structural relaxation.

Output
- SG: P4/mmm (123)
- N(E_F): 7.60 states/eV/cell
- VASP energy: -3.538 eV/atom

a = 4.7139 Å, b = 5.3370 Å, c = 4.7139 Å
α = 90.00°, β = 90.00°, γ = 90.00°
Element x y z (fractional)
Sr 0.0000 0.0000 0.0000
Mo 0.0000 0.0000 0.5000
Mo 0.5000 0.0000 0.0000
Ru 0.5000 0.5000 0.5000
Hg 0.0000 0.5000 0.0000

=====

# 8
## Pm3CSe2 (PBE-GGA)

Data for Pm3CSe2 after structural relaxation.

Output
- Energy above the most stable polymorph in this dataset: 0.00 kJ/mol of atoms
- SG: C2/m (12)
- N(E_F): 3.04 states/eV/cell
- Energy relative to the elements, uncorrected: -8.08 eV per formula unit

a = 6.9407 Å, b = 6.9407 Å, c = 7.1890 Å
α = 99.29°, β = 99.29°, γ = 119.96°
Element x y z (fractional)
C 0.6656 0.3344 0.0000
C 0.0011 0.9989 0.0000
Pm 0.0424 0.3757 0.2133
Pm 0.4053 0.1013 0.2167
Pm 0.7679 0.7386 0.2167
Pm 0.6243 0.9576 0.7867
Pm 0.8987 0.5947 0.7833
Pm 0.2614 0.2321 0.7833
Se 0.1746 0.8254 0.5000
Se 0.3333 0.6667 0.0000
Se 0.8333 0.1667 0.5000
Se 0.4920 0.5080 0.5000

=====

- Which value of N(E_F) does entry 5 give?
  5.70 states/eV/cell

=====

- The highest N(E_F) belongs to which entry?
  Li3Np3USe8

=====

- Which of these has the lowest N(E_F)?
  Dy3Sc5S12

=====

- What is the N(E_F) in the first record?
  3.18 states/eV/cell